Record 1
This record from Alexandria describes a relaxed TmCu4Ni2 crystal. The functional is PBE.

Cell: 4.827 5.033 5.033 Å, 76.98 61.57 61.57°
Positions (direct):
Ni 0.250 0.500 0.500
Ni 0.750 0.500 0.500
Tm 0.000 0.000 0.000
Cu 0.305 0.389 0.000
Cu 0.695 0.000 0.611
Cu 0.695 0.611 0.000
Cu 0.305 0.000 0.389

* symmetry: No. 12
* total moment: 0.00 μB per cell
* polymorph energy (0 for the lowest one): 0 meV per atom
* ΔH_f (0 K): -185 meV/atom
* D(E_F): 0.41 states/eV per atom
* calculated volume: 13.509 Å³ per atom
* energy: -4.817 eV/atom

=====

Record 2
This record from Alexandria describes a relaxed Tm6Cu5Ni crystal. The functional is PBE.

Cell: 4.807 6.793 7.621 Å, 90.00 71.62 90.00°
Positions (direct):
Cu 0.669 0.000 0.663
Cu 0.331 0.000 0.337
Cu 0.333 0.500 0.334
Cu 0.000 0.500 0.000
Cu 0.667 0.500 0.666
Tm 0.500 0.755 0.000
Tm 0.836 0.752 0.329
Tm 0.164 0.752 0.671
Tm 0.836 0.248 0.329
Tm 0.500 0.245 0.000
Tm 0.164 0.248 0.671
Ni 0.000 0.000 0.000

* symmetry: No. 65
* total moment: 0.00 μB per cell
* ΔH_f (0 K): -325 meV/atom
* D(E_F): 0.43 states/eV per atom
* calculated volume: 19.678 Å³ per atom
* energy: -4.749 eV/atom

=====

Record 3
This record from Alexandria describes a relaxed Tm12CuNi6 crystal. The functional is PBE.

Cell: 7.944 7.944 7.944 Å, 101.22 101.22 101.22°
Positions (direct):
Tm 0.673 0.917 0.057
Tm 0.566 0.175 0.412
Tm 0.917 0.057 0.673
Tm 0.825 0.588 0.434
Tm 0.412 0.566 0.175
Tm 0.057 0.673 0.917
Tm 0.083 0.943 0.327
Tm 0.175 0.412 0.566
Tm 0.943 0.327 0.083
Tm 0.434 0.825 0.588
Tm 0.588 0.434 0.825
Tm 0.327 0.083 0.943
Ni 0.619 0.315 0.138
Ni 0.138 0.619 0.315
Ni 0.315 0.138 0.619
Ni 0.381 0.685 0.862
Ni 0.862 0.381 0.685
Ni 0.685 0.862 0.381
Cu 0.000 0.000 0.000

* symmetry: No. 148
* total moment: 0.00 μB per cell
* polymorph energy (0 for the lowest one): 135 meV per atom
* ΔH_f (0 K): -181 meV/atom
* D(E_F): 0.94 states/eV per atom
* calculated volume: 24.633 Å³ per atom
* energy: -5.046 eV/atom

=====

Record 4
This record from Alexandria describes a relaxed Tm2Cu3Ni crystal. The functional is PBE.

Cell: 3.464 4.217 7.168 Å, 90.00 90.00 90.00°
Positions (direct):
Cu 0.500 0.000 0.168
Cu 0.500 0.000 0.832
Cu 0.500 0.500 0.666
Tm 0.000 0.500 0.012
Tm 0.000 0.000 0.491
Ni 0.500 0.500 0.331

* symmetry: No. 25
* total moment: 0.00 μB per cell
* polymorph energy (0 for the lowest one): 0 meV per atom
* ΔH_f (0 K): -305 meV/atom
* D(E_F): 0.67 states/eV per atom
* calculated volume: 17.455 Å³ per atom
* energy: -4.807 eV/atom

=====

Record 5
This record from Alexandria describes a relaxed TmCuNi crystal. The functional is PBE.

Cell: 3.470 4.037 8.402 Å, 118.87 90.05 90.00°
Positions (direct):
Tm 0.362 0.605 0.806
Tm 0.364 0.564 0.264
Ni 0.863 0.250 0.950
Ni 0.863 0.919 0.119
Cu 0.862 0.922 0.623
Cu 0.864 0.247 0.447

* symmetry: No. 2
* total moment: 0.00 μB per cell
* ΔH_f (0 K): -354 meV/atom
* D(E_F): 0.54 states/eV per atom
* calculated volume: 17.181 Å³ per atom
* energy: -5.137 eV/atom

=====

Record 6
This record from Alexandria describes a relaxed Tm4CuNi crystal. The functional is PBE.

Cell: 3.390 3.390 12.145 Å, 90.00 90.00 90.00°
Positions (direct):
Ni 0.500 0.500 0.500
Tm 0.500 0.500 0.859
Tm 0.000 0.000 0.631
Tm 0.000 0.000 0.369
Tm 0.500 0.500 0.141
Cu 0.000 0.000 0.000

* symmetry: No. 123
* total moment: 0.00 μB per cell
* polymorph energy (0 for the lowest one): 0 meV per atom
* ΔH_f (0 K): -217 meV/atom
* D(E_F): 0.97 states/eV per atom
* calculated volume: 23.263 Å³ per atom
* energy: -4.845 eV/atom

=====

Q: Which of these has the lowest ΔH_f (0 K)?
A: TmCuNi

=====

Repeat the fifth record exactly.
This record from Alexandria describes a relaxed TmCuNi crystal. The functional is PBE.

Cell: 3.470 4.037 8.402 Å, 118.87 90.05 90.00°
Positions (direct):
Tm 0.362 0.605 0.806
Tm 0.364 0.564 0.264
Ni 0.863 0.250 0.950
Ni 0.863 0.919 0.119
Cu 0.862 0.922 0.623
Cu 0.864 0.247 0.447

* symmetry: No. 2
* total moment: 0.00 μB per cell
* ΔH_f (0 K): -354 meV/atom
* D(E_F): 0.54 states/eV per atom
* calculated volume: 17.181 Å³ per atom
* energy: -5.137 eV/atom

=====

Q: Among the records above, which one has the lowest D(E_F)?
A: TmCu4Ni2

=====

Q: Which value of total moment does entry 4 give?
A: 0.00 μB per cell